# 1
VASP calculation (PBE) on a geometry-optimized BeCu2Tc2 structure.

Cell lengths 3.4011, 3.4011, 12.8389 Å; angles 90.00, 90.00, 90.00 degrees
With the nearest neighbours (Å) after each atom.
Space group I4/mmm (No. 139)
Unique sites:
Be 0.0000 0.0000 0.0000 x2  8 Cu 2.67
Cu 0.0000 0.0000 0.4102 x4  1 Cu 2.31
Tc 0.0000 0.5000 0.2500 x4  4 Tc 2.40, 4 Cu 2.67

As for the energy above the most stable polymorph in this dataset: 0.356 eV/atom. As for the energy of formation from the pure elements: 703 meV per atom. The calculation puts the size of the total moment at 0.00 μB/f.u. Its crystal system is tetragonal. The density of states at the Fermi level comes out at 0.598 states/eV/atom.



# 2
VASP calculation (PBE) on a geometry-optimized Be17CuTc structure.

Cell lengths 7.2131, 7.2131, 10.7920 Å; angles 90.00, 90.00, 120.00 degrees
With the nearest neighbours (Å) after each atom.
Space group R3m (No. 160, hexagonal axes)
Unique sites:
Be 0.0000 0.0000 0.0588 x3  7 Be 2.17-2.30
Be 0.0000 0.0000 0.2596 x3  7 Be 2.17-2.23
Be 0.9998 0.4999 0.0000 x9  9 Be 2.05-2.23
Be 0.0110 0.5055 0.3161 x9  9 Be 2.06-2.30
Be 0.0247 0.3546 0.8251 x18  8 Be 2.09-2.28
Be 0.1713 0.3426 0.9975 x9  10 Be 2.05-2.24
Cu 0.0000 0.0000 0.7758 x3  12 Be 2.39-2.53
Tc 0.0000 0.0000 0.4864 x3  16 Be 2.45-2.67

As for the energy of formation from the pure elements: -90 meV per atom. The calculation puts the size of the total moment at 0.00 μB/f.u. Its crystal system is trigonal. The density of states at the Fermi level comes out at 0.229 states/eV/atom.